Material: KNa4As2
Method: DFT, PBE
State: optimized geometry

Results
formation energy from the elements: -0.337 eV per atom

abc: 9.218 9.218 9.218
angles: 32.08 32.08 32.08
Fractional positions:
K: 0.000 0.000 0.000
Na: 0.135 0.135 0.135
Na: 0.407 0.407 0.407
Na: 0.593 0.593 0.593
Na: 0.865 0.865 0.865
As: 0.250 0.250 0.250
As: 0.750 0.750 0.750


Material: CaReTc
Method: DFT, PBE
State: optimized geometry

Results
formation energy from the elements: 0.342 eV per atom

abc: 6.256 6.256 6.256
angles: 150.88 150.88 41.65
Fractional positions:
Ca: 0.000 0.000 0.000
Re: 0.696 0.696 0.000
Tc: 0.302 0.302 0.000


Material: KAlRe
Method: DFT, PBE
State: optimized geometry

Results
formation energy from the elements: 0.723 eV per atom

abc: 8.095 8.095 8.095
angles: 160.38 160.38 27.89
Fractional positions:
K: 0.000 0.000 0.000
Al: 0.311 0.311 0.000
Re: 0.687 0.687 0.000


Material: BeZnAu
Method: DFT, PBE
State: optimized geometry

Results
formation energy from the elements: -0.027 eV per atom

abc: 2.771 3.991 4.125
angles: 90.00 90.00 90.00
Fractional positions:
Be: 0.000 0.000 0.000
Zn: 0.500 0.000 0.500
Au: 0.500 0.500 0.000


Material: SbOs2W
Method: DFT, PBE
State: optimized geometry

Results
ΔE_f (raw): 520 meV per atom

abc: 4.858 4.858 4.883
angles: 97.63 97.63 35.31
Fractional positions:
Sb: 0.000 0.000 0.000
Os: 0.237 0.237 0.724
Os: 0.763 0.763 0.276
W: 0.500 0.500 0.500


Material: LiMoAs
Method: DFT, PBE
State: optimized geometry

Results
formation energy from the elements: 0.112 eV per atom

abc: 6.852 6.655 2.863
angles: 81.66 73.92 24.42
Fractional positions:
Li: 0.000 0.000 0.000
Mo: 0.322 0.322 0.678
As: 0.675 0.675 0.325